The following is a DFT calculation (PBEsol) of a relaxed structure of TaAg2GeF.

Structure (POSCAR):
```
TaAg2GeF
1.0
-1.373 -4.401 -0.891
2.030 -1.439 3.981
-4.206 0.818 2.440
Ag Ge F Ta
2 1 1 1
direct
0.000 0.500 0.000
0.500 0.000 0.000
0.000 0.000 0.000
0.500 0.500 0.500
0.000 0.000 0.500
```

The space-group type is P4/mmm.

The following is a DFT calculation (PBEsol) of a relaxed structure of TcTeRh2.

Structure (POSCAR):
```
TcTeRh2
1.0
-3.165 -2.080 -0.916
0.362 -2.012 3.317
-2.287 2.659 1.863
Te Tc Rh
1 1 2
direct
0.000 0.000 0.500
0.500 0.500 0.500
0.000 0.500 0.000
0.500 0.000 0.000
```

The space-group type is P4/mmm.

The following is a DFT calculation (PBEsol) of a relaxed structure of RbSr2LaP.

Structure (POSCAR):
```
RbSr2LaP
1.0
5.764 0.000 0.000
0.000 6.135 0.000
0.000 0.000 6.135
La Sr Rb P
1 2 1 1
direct
0.500 0.000 0.000
0.000 0.500 0.000
0.000 0.000 0.500
0.500 0.500 0.500
0.000 0.000 0.000
```

The formation energy comes out at -0.280 eV per atom. The space-group type is P4/mmm.

| no. | E (eV/atom) |
| --- | --- |
| 1 | -4.47 |
| 2 | -7.65 |
| 3 | -3.45 |